(1)
KOsRu: optimized geometry, PBE-GGA.

The space group is P3m1 (No. 156) and the conventional cell measures 2.8075, 2.8075 and 8.0151 Å, with angles of 90.00, 90.00 and 120.00 degrees. The distinct sites, in fractional coordinates, are K at (0.0000, 0.0000, 0.0000), Os at (0.6667, 0.3333, 0.3727) and Ru at (0.3333, 0.6667, 0.6250).

For the total moment, the calculation gives 0.000 μB/atom. Its crystal system is trigonal. For the energy of formation from the pure elements, the calculation gives 2.863 eV per formula unit.

=====

(2)
K4OsRu: optimized geometry, PBE-GGA.

The space group is F-43m (No. 216) and the conventional cell measures 8.8813, 8.8813 and 8.8813 Å, with angles of 90.00, 90.00 and 90.00 degrees. The distinct sites, in fractional coordinates, are K at (0.1247, 0.1247, 0.1247), Os at (0.2500, 0.2500, 0.7500) and Ru at (0.0000, 0.0000, 0.5000).

For the total moment, the calculation gives 0.672 μB/atom. Its crystal system is cubic. For the energy of formation from the pure elements, the calculation gives 10.919 eV per formula unit.

=====

(3)
KOsRu: optimized geometry, PBE-GGA.

The space group is I4mm (No. 107) and the conventional cell measures 2.9721, 2.9721 and 14.3531 Å, with angles of 90.00, 90.00 and 90.00 degrees. The distinct sites, in fractional coordinates, are K at (0.0000, 0.0000, 0.0000), Os at (0.0000, 0.0000, 0.7014) and Ru at (0.0000, 0.0000, 0.2964).

For the total moment, the calculation gives 0.000 μB/atom. Its crystal system is tetragonal. For the energy of formation from the pure elements, the calculation gives 2.734 eV per formula unit.

=====

(4)
KOs2Ru: optimized geometry, PBE-GGA.

The space group is I-42d (No. 122) and the conventional cell measures 7.5766, 7.5766 and 5.4530 Å, with angles of 90.00, 90.00 and 90.00 degrees. The distinct sites, in fractional coordinates, are K at (0.0000, 0.0000, 0.0000), Os at (0.1869, 0.7500, 0.6250) and Ru at (0.0000, 0.0000, 0.5000).

For the total moment, the calculation gives 0.000 μB/atom. Its crystal system is tetragonal. For the energy of formation from the pure elements, the calculation gives 6.634 eV per formula unit.

=====

(5)
KOsRu2: optimized geometry, PBE-GGA.

The space group is I-4m2 (No. 119) and the conventional cell measures 4.5184, 4.5184 and 6.4057 Å, with angles of 90.00, 90.00 and 90.00 degrees. The distinct sites, in fractional coordinates, are K at (0.0000, 0.0000, 0.0000), Os at (0.0000, 0.5000, 0.7500), Ru at (0.0000, 0.0000, 0.5000) and Ru at (0.0000, 0.5000, 0.2500).

For the total moment, the calculation gives 0.324 μB/atom. Its crystal system is tetragonal. For the energy of formation from the pure elements, the calculation gives 6.331 eV per formula unit.

=====

(6)
KOs2Ru: optimized geometry, PBE-GGA.

The space group is P4/mmm (No. 123) and the conventional cell measures 3.8074, 3.8074 and 4.6890 Å, with angles of 90.00, 90.00 and 90.00 degrees. The distinct sites, in fractional coordinates, are K at (0.0000, 0.0000, 0.0000), Os at (0.0000, 0.5000, 0.5000) and Ru at (0.5000, 0.5000, 0.0000).

For the total moment, the calculation gives 0.347 μB/atom. Its crystal system is tetragonal. For the energy of formation from the pure elements, the calculation gives 7.443 eV per formula unit.

=====

(7)
KOs2Ru: optimized geometry, PBE-GGA.

The space group is Pmmm (No. 47) and the conventional cell measures 2.6773, 3.8282 and 7.9135 Å, with angles of 90.00, 90.00 and 90.00 degrees. The distinct sites, in fractional coordinates, are K at (0.0000, 0.0000, 0.0000), Os at (0.5000, 0.5000, 0.3402) and Ru at (0.0000, 0.0000, 0.5000).

For the total moment, the calculation gives 0.000 μB/atom. Its crystal system is orthorhombic. For the energy of formation from the pure elements, the calculation gives 3.746 eV per formula unit.

=====

(8)
KOsRu2: optimized geometry, PBE-GGA.

The space group is P4/mmm (No. 123) and the conventional cell measures 4.8834, 4.8834 and 2.7729 Å, with angles of 90.00, 90.00 and 90.00 degrees. The distinct sites, in fractional coordinates, are K at (0.0000, 0.0000, 0.0000), Os at (0.5000, 0.5000, 0.0000) and Ru at (0.0000, 0.5000, 0.5000).

For the total moment, the calculation gives 0.470 μB/atom. Its crystal system is tetragonal. For the energy of formation from the pure elements, the calculation gives 5.651 eV per formula unit.

=====

(9)
KOs2Ru: optimized geometry, PBE-GGA.

The space group is Cmm2 (No. 35) and the conventional cell measures 2.8204, 4.6637 and 10.3214 Å, with angles of 90.00, 90.00 and 90.00 degrees. The distinct sites, in fractional coordinates, are K at (0.0000, 0.0000, 0.0000), Os at (0.0000, 0.0000, 0.4971), Os at (0.0000, 0.5000, 0.7160) and Ru at (0.0000, 0.5000, 0.2811).

For the total moment, the calculation gives 0.128 μB/atom. Its crystal system is orthorhombic. For the energy of formation from the pure elements, the calculation gives 4.037 eV per formula unit.

=====

(10)
KOsRu2: optimized geometry, PBE-GGA.

The space group is Cmmm (No. 65) and the conventional cell measures 6.1118, 8.2016 and 2.6385 Å, with angles of 90.00, 90.00 and 90.00 degrees. The distinct sites, in fractional coordinates, are K at (0.0000, 0.0000, 0.0000), Os at (0.0000, 0.5000, 0.0000) and Ru at (0.2500, 0.2500, 0.5000).

For the total moment, the calculation gives 0.000 μB/atom. Its crystal system is orthorhombic. For the energy of formation from the pure elements, the calculation gives 5.533 eV per formula unit.

=====

(11)
KOs2Ru: optimized geometry, PBE-GGA.

The space group is Cmmm (No. 65) and the conventional cell measures 5.5671, 9.2679 and 2.5893 Å, with angles of 90.00, 90.00 and 90.00 degrees. The distinct sites, in fractional coordinates, are K at (0.0000, 0.0000, 0.0000), Os at (0.2500, 0.2500, 0.5000) and Ru at (0.0000, 0.5000, 0.0000).

For the total moment, the calculation gives 0.087 μB/atom. Its crystal system is orthorhombic. For the energy of formation from the pure elements, the calculation gives 6.102 eV per formula unit.

=====

(12)
KOs3Ru: optimized geometry, PBE-GGA.

The space group is Pm-3m (No. 221) and the conventional cell measures 4.4577, 4.4577 and 4.4577 Å, with angles of 90.00, 90.00 and 90.00 degrees. The distinct sites, in fractional coordinates, are K at (0.0000, 0.0000, 0.0000), Os at (0.0000, 0.0000, 0.5000) and Ru at (0.5000, 0.5000, 0.5000).

For the total moment, the calculation gives 0.000 μB/atom. Its crystal system is cubic. For the energy of formation from the pure elements, the calculation gives 19.921 eV per formula unit.

=====

(13)
KOsRu2: optimized geometry, PBE-GGA.

The space group is Fm-3m (No. 225) and the conventional cell measures 6.3827, 6.3827 and 6.3827 Å, with angles of 90.00, 90.00 and 90.00 degrees. The distinct sites, in fractional coordinates, are K at (0.0000, 0.0000, 0.0000), Os at (0.0000, 0.0000, 0.5000) and Ru at (0.2500, 0.2500, 0.2500).

For the total moment, the calculation gives 0.259 μB/atom. Its crystal system is cubic. For the energy of formation from the pure elements, the calculation gives 5.669 eV per formula unit.

=====

(14)
KOs2Ru: optimized geometry, PBE-GGA.

The space group is C2/m (No. 12) and the conventional cell measures 11.1162, 2.6992 and 5.9321 Å, with angles of 90.00, 107.48 and 90.00 degrees. The distinct sites, in fractional coordinates, are K at (0.0000, 0.0000, 0.0000), Os at (0.2059, 0.0000, 0.6341) and Ru at (0.0000, 0.5000, 0.5000).

For the total moment, the calculation gives 0.000 μB/atom. Its crystal system is monoclinic. For the energy of formation from the pure elements, the calculation gives 4.321 eV per formula unit.

=====

(15)
KTcOsRu2: optimized geometry, PBE-GGA.

The space group is P4/mmm (No. 123) and the conventional cell measures 4.6376, 4.6376 and 4.9227 Å, with angles of 90.00, 90.00 and 90.00 degrees. The distinct sites, in fractional coordinates, are K at (0.0000, 0.0000, 0.0000), Tc at (0.0000, 0.0000, 0.5000), Os at (0.5000, 0.5000, 0.0000) and Ru at (0.0000, 0.5000, 0.5000).

For the total moment, the calculation gives 0.610 μB/atom. Its crystal system is tetragonal. For the energy of formation from the pure elements, the calculation gives 12.242 eV per formula unit.

=====

(16)
KV2OsRu: optimized geometry, PBE-GGA.

The space group is P4/mmm (No. 123) and the conventional cell measures 4.2408, 4.2408 and 4.3447 Å, with angles of 90.00, 90.00 and 90.00 degrees. The distinct sites, in fractional coordinates, are K at (0.0000, 0.0000, 0.0000), V at (0.0000, 0.5000, 0.0000), Os at (0.5000, 0.5000, 0.5000) and Ru at (0.0000, 0.0000, 0.5000).

For the total moment, the calculation gives 0.000 μB/atom. Its crystal system is tetragonal. For the energy of formation from the pure elements, the calculation gives 13.598 eV per formula unit.

=====

(17)
KOsRuW2: optimized geometry, PBE-GGA.

The space group is P4/mmm (No. 123) and the conventional cell measures 4.7442, 4.7442 and 5.2636 Å, with angles of 90.00, 90.00 and 90.00 degrees. The distinct sites, in fractional coordinates, are K at (0.0000, 0.0000, 0.0000), Os at (0.0000, 0.0000, 0.5000), Ru at (0.5000, 0.5000, 0.0000) and W at (0.0000, 0.5000, 0.5000).

For the total moment, the calculation gives 0.000 μB/atom. Its crystal system is tetragonal. For the energy of formation from the pure elements, the calculation gives 12.913 eV per formula unit.

=====

(18)
KZnOsRu2: optimized geometry, PBE-GGA.

The space group is P4/mmm (No. 123) and the conventional cell measures 4.4438, 4.4438 and 4.6573 Å, with angles of 90.00, 90.00 and 90.00 degrees. The distinct sites, in fractional coordinates, are K at (0.0000, 0.0000, 0.0000), Zn at (0.0000, 0.0000, 0.5000), Os at (0.5000, 0.5000, 0.5000) and Ru at (0.0000, 0.5000, 0.0000).

For the total moment, the calculation gives 0.412 μB/atom. Its crystal system is tetragonal. For the energy of formation from the pure elements, the calculation gives 14.853 eV per formula unit.

=====

(19)
K4OsS5: optimized geometry, PBE-GGA.

The space group is I4 (No. 79) and the conventional cell measures 9.7942, 9.7942 and 6.2452 Å, with angles of 90.00, 90.00 and 90.00 degrees. The distinct sites, in fractional coordinates, are K at (0.1125, 0.7041, 0.0000), Os at (0.0000, 0.0000, 0.5998), S at (0.0000, 0.0000, 0.9455) and S at (0.0667, 0.7806, 0.4952).

For the total moment, the calculation gives 0.000 μB/atom. Its crystal system is tetragonal. The energy relative to the elements, uncorrected is -0.67 eV per atom.

=====

(20)
KOs3S: optimized geometry, PBE-GGA.

The space group is Pm-3m (No. 221) and the conventional cell measures 4.6352, 4.6352 and 4.6352 Å, with angles of 90.00, 90.00 and 90.00 degrees. The distinct sites, in fractional coordinates, are K at (0.0000, 0.0000, 0.0000), Os at (0.0000, 0.0000, 0.5000) and S at (0.5000, 0.5000, 0.5000).

For the total moment, the calculation gives 0.001 μB/atom. Its crystal system is cubic. The energy relative to the elements, uncorrected is 4.25 eV per atom.

=====

(21)
KOs3S: optimized geometry, PBE-GGA.

The space group is Pm-3m (No. 221) and the conventional cell measures 4.4763, 4.4763 and 4.4763 Å, with angles of 90.00, 90.00 and 90.00 degrees. The distinct sites, in fractional coordinates, are K at (0.0000, 0.0000, 0.0000), Os at (0.0000, 0.5000, 0.5000) and S at (0.5000, 0.5000, 0.5000).

For the total moment, the calculation gives 0.113 μB/atom. Its crystal system is cubic. The energy relative to the elements, uncorrected is 1.40 eV per atom.

=====

(22)
KOsS2: optimized geometry, PBE-GGA.

The space group is Fm-3m (No. 225) and the conventional cell measures 6.4565, 6.4565 and 6.4565 Å, with angles of 90.00, 90.00 and 90.00 degrees. The distinct sites, in fractional coordinates, are K at (0.0000, 0.0000, 0.0000), Os at (0.0000, 0.0000, 0.5000) and S at (0.2500, 0.2500, 0.2500).

For the total moment, the calculation gives 0.000 μB/atom. Its crystal system is cubic. The energy relative to the elements, uncorrected is 0.51 eV per atom.

=====

(23)
K2OsS: optimized geometry, PBE-GGA.

The space group is I-42d (No. 122) and the conventional cell measures 12.2067, 12.2067 and 4.3593 Å, with angles of 90.00, 90.00 and 90.00 degrees. The distinct sites, in fractional coordinates, are K at (0.0349, 0.2500, 0.1250), Os at (0.0000, 0.0000, 0.5000) and S at (0.0000, 0.0000, 0.0000).

For the total moment, the calculation gives 0.000 μB/atom. Its crystal system is tetragonal. The energy relative to the elements, uncorrected is 0.12 eV per atom.

=====

(24)
KOsS3: optimized geometry, PBE-GGA.

The space group is P6_3/mmc (No. 194) and the conventional cell measures 6.8240, 6.8240 and 5.7982 Å, with angles of 90.00, 90.00 and 120.00 degrees. The distinct sites, in fractional coordinates, are K at (0.3333, 0.6667, 0.2500), Os at (0.0000, 0.0000, 0.0000) and S at (0.1586, 0.3172, 0.7500).

For the total moment, the calculation gives 0.000 μB/atom. Its crystal system is hexagonal. The energy relative to the elements, uncorrected is -0.45 eV per atom.

=====

(25)
KOsS3: optimized geometry, PBE-GGA.

The space group is Pm-3m (No. 221) and the conventional cell measures 4.7398, 4.7398 and 4.7398 Å, with angles of 90.00, 90.00 and 90.00 degrees. The distinct sites, in fractional coordinates, are K at (0.0000, 0.0000, 0.0000), Os at (0.5000, 0.5000, 0.5000) and S at (0.0000, 0.5000, 0.5000).

For the total moment, the calculation gives 0.000 μB/atom. Its crystal system is cubic. The energy relative to the elements, uncorrected is -0.04 eV per atom.

=====

(26)
KOsS3: optimized geometry, PBE-GGA.

The space group is Pm-3m (No. 221) and the conventional cell measures 5.3793, 5.3793 and 5.3793 Å, with angles of 90.00, 90.00 and 90.00 degrees. The distinct sites, in fractional coordinates, are K at (0.0000, 0.0000, 0.0000), Os at (0.5000, 0.5000, 0.5000) and S at (0.0000, 0.0000, 0.5000).

For the total moment, the calculation gives 1.590 μB/atom. Its crystal system is cubic. The energy relative to the elements, uncorrected is 2.34 eV per atom.

=====

(27)
KOs2S: optimized geometry, PBE-GGA.

The space group is I-42d (No. 122) and the conventional cell measures 4.8796, 4.8796 and 16.0523 Å, with angles of 90.00, 90.00 and 90.00 degrees. The distinct sites, in fractional coordinates, are K at (0.0000, 0.0000, 0.0000), Os at (0.0234, 0.7500, 0.6250) and S at (0.0000, 0.0000, 0.5000).

For the total moment, the calculation gives 0.000 μB/atom. Its crystal system is tetragonal. The energy relative to the elements, uncorrected is 0.79 eV per atom.

=====

(28)
KOsS2: optimized geometry, PBE-GGA.

The space group is I-42d (No. 122) and the conventional cell measures 7.2051, 7.2051 and 7.5442 Å, with angles of 90.00, 90.00 and 90.00 degrees. The distinct sites, in fractional coordinates, are K at (0.0000, 0.0000, 0.0000), Os at (0.0000, 0.0000, 0.5000) and S at (0.1323, 0.2500, 0.6250).

For the total moment, the calculation gives 0.000 μB/atom. Its crystal system is tetragonal. The energy relative to the elements, uncorrected is -0.44 eV per atom.